This record from the Alexandria database describes a relaxed structure of CaCr2Mo. The functional is PBE-GGA.

```
data_CaCr2Mo
_chemical_formula_sum 'Ca1 Cr2 Mo1'
_symmetry_space_group_name_H-M 'P 4/m m m'
_symmetry_Int_Tables_number 123
_symmetry_space_group_name_Hall '-P 4 2'
_cell_length_a 4.585
_cell_length_b 4.585
_cell_length_c 3.218
_cell_angle_alpha 90.00
_cell_angle_beta 90.00
_cell_angle_gamma 90.00
loop_
_atom_site_label
_atom_site_type_symbol
_atom_site_fract_x
_atom_site_fract_y
_atom_site_fract_z
Ca1 Ca 0.000 0.000 0.000
Cr1 Cr 0.000 0.500 0.500
Mo1 Mo 0.500 0.500 0.000
```

Computed properties:
E_form: 3.26 eV per formula unit
Density of states at the Fermi level: 3.6 states/eV per cell
Crystal system: tetragonal
Volume: 67.7 Å³ per cell

=====

This record from the Alexandria database describes a relaxed structure of KSnHg2As. The functional is PBE-GGA.

```
data_KSnHg2As
_chemical_formula_sum 'K1 Sn1 Hg2 As1'
_symmetry_space_group_name_H-M 'P 4/m m m'
_symmetry_Int_Tables_number 123
_symmetry_space_group_name_Hall '-P 4 2'
_cell_length_a 5.469
_cell_length_b 5.469
_cell_length_c 5.767
_cell_angle_alpha 90.00
_cell_angle_beta 90.00
_cell_angle_gamma 90.00
loop_
_atom_site_label
_atom_site_type_symbol
_atom_site_fract_x
_atom_site_fract_y
_atom_site_fract_z
K1 K 0.000 0.000 0.000
Sn1 Sn 0.500 0.500 0.000
Hg1 Hg 0.000 0.500 0.500
As1 As 0.500 0.500 0.500
```

Computed properties:
E_form: 0.50 eV per formula unit
Density of states at the Fermi level: 3.2 states/eV per cell
Crystal system: tetragonal
Volume: 172.5 Å³ per cell

=====

This record from the Alexandria database describes a relaxed structure of PmHoCuAu. The functional is PBE-GGA.

```
data_PmHoCuAu
_chemical_formula_sum 'Pm2 Ho2 Cu2 Au2'
_symmetry_space_group_name_H-M 'A m m 2'
_symmetry_Int_Tables_number 38
_symmetry_space_group_name_Hall 'A 2 -2'
_cell_length_a 4.570
_cell_length_b 3.804
_cell_length_c 10.924
_cell_angle_alpha 90.00
_cell_angle_beta 90.00
_cell_angle_gamma 90.00
loop_
_atom_site_label
_atom_site_type_symbol
_atom_site_fract_x
_atom_site_fract_y
_atom_site_fract_z
Pm1 Pm 0.000 0.000 0.000
Ho1 Ho 0.500 0.000 0.721
Cu1 Cu 0.500 0.000 0.438
Au1 Au 0.000 0.000 0.280
```

Computed properties:
E_form: -2.13 eV per formula unit
Density of states at the Fermi level: 5.2 states/eV per cell
Crystal system: orthorhombic
Volume: 189.9 Å³ per cell

=====

This record from the Alexandria database describes a relaxed structure of NdThZn2. The functional is PBE-GGA.

```
data_NdThZn2
_chemical_formula_sum 'Nd3 Th3 Zn6'
_symmetry_space_group_name_H-M 'R -3 m'
_symmetry_Int_Tables_number 166
_symmetry_space_group_name_Hall '-R 3 2"'
_cell_length_a 3.6538
_cell_length_b 3.6538
_cell_length_c 27.7862
_cell_angle_alpha 90.00
_cell_angle_beta 90.00
_cell_angle_gamma 120.00
loop_
_atom_site_label
_atom_site_type_symbol
_atom_site_fract_x
_atom_site_fract_y
_atom_site_fract_z
Nd1 Nd 0.0000 0.0000 0.0000
Th1 Th 0.0000 0.0000 0.5000
Zn1 Zn 0.0000 0.0000 0.2507
```

Computed properties:
E_form: -0.14 eV per formula unit
Density of states at the Fermi level: 11.9 states/eV per cell
Crystal system: trigonal
Volume: 321.3 Å³ per cell

=====

This record from the Alexandria database describes a relaxed structure of TcNi4Rh. The functional is PBE-GGA.

```
data_TcNi4Rh
_chemical_formula_sum 'Tc2 Ni8 Rh2'
_symmetry_space_group_name_H-M 'P 42/n m c'
_symmetry_Int_Tables_number 137
_cell_length_a 6.151
_cell_length_b 6.151
_cell_length_c 4.894
_cell_angle_alpha 90.00
_cell_angle_beta 90.00
_cell_angle_gamma 90.00
loop_
_symmetry_equiv_pos_as_xyz
'x,y,z'
'-x,-y,-z'
'-y+1/2,x,z+1/2'
'y+1/2,-x,-z+1/2'
'-x+1/2,-y+1/2,z'
'x+1/2,y+1/2,-z'
'y,-x+1/2,z+1/2'
'-y,x+1/2,-z+1/2'
'x+1/2,-y,-z'
'-x+1/2,y,z'
'-y,-x,-z+1/2'
'y,x,z+1/2'
'-x,y+1/2,-z'
'x,-y+1/2,z'
'y+1/2,x+1/2,-z+1/2'
'-y+1/2,-x+1/2,z+1/2'
loop_
_atom_site_label
_atom_site_type_symbol
_atom_site_fract_x
_atom_site_fract_y
_atom_site_fract_z
Tc1 Tc 0.250 0.750 0.250
Ni1 Ni 0.075 0.250 0.511
Rh1 Rh 0.250 0.750 0.750
```

Computed properties:
E_form: 6.11 eV per formula unit
Density of states at the Fermi level: 20.6 states/eV per cell
Crystal system: tetragonal
Volume: 185.1 Å³ per cell

=====

This record from the Alexandria database describes a relaxed structure of EuCu2Ni. The functional is PBE-GGA.

```
data_EuCu2Ni
_chemical_formula_sum 'Eu3 Cu6 Ni3'
_symmetry_space_group_name_H-M 'R -3 m'
_symmetry_Int_Tables_number 166
_symmetry_space_group_name_Hall '-R 3 2"'
_cell_length_a 4.1511
_cell_length_b 4.1511
_cell_length_c 14.8793
_cell_angle_alpha 90.00
_cell_angle_beta 90.00
_cell_angle_gamma 120.00
loop_
_atom_site_label
_atom_site_type_symbol
_atom_site_fract_x
_atom_site_fract_y
_atom_site_fract_z
Eu1 Eu 0.0000 0.0000 0.0000
Cu1 Cu 0.0000 0.0000 0.1944
Ni1 Ni 0.0000 0.0000 0.5000
```

Computed properties:
E_form: -0.36 eV per formula unit
Density of states at the Fermi level: 45.2 states/eV per cell
Crystal system: trigonal
Volume: 222.0 Å³ per cell

=====

This record from the Alexandria database describes a relaxed structure of MnIrW2. The functional is PBE-GGA.

```
data_MnIrW2
_chemical_formula_sum 'Mn1 Ir1 W2'
_symmetry_space_group_name_H-M 'P m m 2'
_symmetry_Int_Tables_number 25
_symmetry_space_group_name_Hall 'P 2 -2'
_cell_length_a 2.946
_cell_length_b 3.457
_cell_length_c 5.884
_cell_angle_alpha 90.00
_cell_angle_beta 90.00
_cell_angle_gamma 90.00
loop_
_atom_site_label
_atom_site_type_symbol
_atom_site_fract_x
_atom_site_fract_y
_atom_site_fract_z
Mn1 Mn 0.000 0.000 0.000
Ir1 Ir 0.500 0.500 0.751
W1 W 0.000 0.000 0.503
W2 W 0.500 0.500 0.229
```

Computed properties:
E_form: 0.16 eV per formula unit
Density of states at the Fermi level: 2.4 states/eV per cell
Crystal system: orthorhombic
Volume: 59.9 Å³ per cell

=====

This record from the Alexandria database describes a relaxed structure of PuCuH8Pt2. The functional is PBE-GGA.

```
data_PuCuH8Pt2
_chemical_formula_sum 'Pu3 Cu3 H24 Pt6'
_symmetry_space_group_name_H-M 'R -3'
_symmetry_Int_Tables_number 148
_symmetry_space_group_name_Hall '-R 3'
_cell_length_a 4.7270
_cell_length_b 4.7270
_cell_length_c 16.9013
_cell_angle_alpha 90.00
_cell_angle_beta 90.00
_cell_angle_gamma 120.00
loop_
_atom_site_label
_atom_site_type_symbol
_atom_site_fract_x
_atom_site_fract_y
_atom_site_fract_z
Pu1 Pu 0.0000 0.0000 0.0000
Cu1 Cu 0.0000 0.0000 0.5000
H1 H 0.0000 0.0000 0.3232
H2 H 0.0146 0.3075 0.5625
Pt1 Pt 0.0000 0.0000 0.2268
```

Computed properties:
Density of states at the Fermi level: 42.0 states/eV per cell
Crystal system: trigonal
Volume: 327.1 Å³ per cell
E: -172.80 eV for the cell shown